1.
This record from Alexandria describes a geometry-optimized Ni2RuAu2 structure. The functional is PBE-GGA.

It has space group P4/mbm (No. 127), with a = 6.343 Å, b = 6.343 Å, c = 3.745 Å, α = 90.00°, β = 90.00° and γ = 90.00°. The asymmetric unit holds Ni at (0.130, 0.370, 0.000), Ru at (0.000, 0.000, 0.000) and Au at (0.172, 0.672, 0.500).

As for the magnetization: 6.444 Bohr magnetons per cell. Its electronic total energy is -5.096 eV/atom. The value obtained for the mass density is 13.50 g cm⁻³. As for the crystal system: tetragonal.

***

2.
This record from Alexandria describes a geometry-optimized Ni2RuAu structure. The functional is PBE-GGA.

It has space group Imm2 (No. 44), with a = 2.746 Å, b = 4.415 Å, c = 8.986 Å, α = 90.00°, β = 90.00° and γ = 90.00°. The asymmetric unit holds Ni at (0.000, 0.000, 0.000), Ni at (0.000, 0.500, 0.273), Ru at (0.000, 0.500, 0.734) and Au at (0.000, 0.000, 0.512).

As for the magnetization: 3.868 Bohr magnetons per cell. Its electronic total energy is -5.734 eV/atom. The value obtained for the mass density is 12.66 g cm⁻³. As for the crystal system: orthorhombic. Its energy above the most stable polymorph in this dataset is 0.158 eV/atom.